Here is a relaxed structure of LiLaSiHg from the Alexandria database. Energies are from PBE.

Unit cell a=5.109 b=5.109 c=5.109 alpha=60.00 beta=60.00 gamma=60.00
Fractional coordinates of all 4 atoms:
Si 0.250 0.250 0.250
Li 0.000 0.000 0.000
Hg 0.750 0.750 0.750
La 0.500 0.500 0.500

Total energy, eV/atom: -3.537
V, Å³/cell: 94